1.
Ta2Ru3 | meta-GGA SCAN | single point on PBEsol structure

Calculated values
Its total magnetization is 0.00 μB per atom. Its polymorph energy (0 for the lowest one) is 0.0000 eV/atom. As for the total energy: -478.188 eV/cell. As for the volume: 150.9 Å³/cell. Its formation energy is -1.45 eV/f.u.

a b c (Å): 6.9623 5.3141 8.0382
angles (deg): 58.70 40.71 80.59
Positions (direct):
Ta  0.2618  0.7382  0.3444
Ta  0.5944  0.9056  0.5118
Ta  0.7382  0.2618  0.6556
Ta  0.9056  0.5944  0.9882
Ru  0.1194  0.8050  0.0772
Ru  0.1728  0.2516  0.1306
Ru  0.2516  0.1728  0.4450
Ru  0.4275  0.4275  0.5725
Ru  0.6775  0.6775  0.8225
Ru  0.8050  0.1194  0.9984

=====

2.
ZnSiTe2 | meta-GGA SCAN | single point on PBEsol structure

Calculated values
Its total magnetization is 0.00 μB per atom. Its polymorph energy (0 for the lowest one) is 0.4176 eV/atom. The uncorrected formation energy is 471 meV/atom. As for the total energy: -96.148 eV/cell. As for the volume: 86.3 Å³/cell.

a b c (Å): 4.9610 4.9610 4.9610
angles (deg): 60.00 60.00 60.00
Positions (direct):
Zn  0.0000  0.0000  0.0000
Si  0.5000  0.5000  0.5000
Te  0.2500  0.2500  0.2500
Te  0.7500  0.7500  0.7500

=====

3.
Cd2CuAg | meta-GGA SCAN | single point on PBEsol structure

Calculated values
Its total magnetization is 0.00 μB per atom. As for the total energy: -107.256 eV/cell. As for the volume: 67.5 Å³/cell. Its formation energy is 0.14 eV/f.u.

a b c (Å): 4.6252 4.6252 3.1589
angles (deg): 90.00 90.00 92.92
Positions (direct):
Cd  0.0000  0.5000  0.0000
Cd  0.5000  0.0000  0.0000
Cu  0.0000  0.0000  0.5000
Ag  0.5000  0.5000  0.5000

=====

4.
TaZn2Si | meta-GGA SCAN | single point on PBEsol structure

Calculated values
Its total magnetization is 0.00 μB per atom. The uncorrected formation energy is 137 meV/atom. As for the total energy: -103.081 eV/cell. As for the volume: 60.7 Å³/cell.

a b c (Å): 2.7375 2.7375 8.2722
angles (deg): 90.00 90.00 101.57
Positions (direct):
Ta  0.0000  0.0000  0.0000
Zn  0.0000  0.0000  0.4986
Zn  0.5000  0.5000  0.7400
Si  0.5000  0.5000  0.2406

=====

5.
BiPtPb3 | meta-GGA SCAN | single point on PBEsol structure

Calculated values
Its total magnetization is 0.00 μB per atom. As for the total energy: -1507.080 eV/cell. As for the volume: 529.9 Å³/cell. Its formation energy is -0.65 eV/f.u.

a b c (Å): 11.3674 11.3674 4.1005
angles (deg): 90.00 90.00 90.00
Positions (direct):
Bi  0.2059  0.2059  0.0000
Bi  0.2941  0.7059  0.5000
Bi  0.7059  0.2941  0.5000
Bi  0.7941  0.7941  0.0000
Pt  0.0862  0.0862  0.5000
Pt  0.4138  0.5862  0.0000
Pt  0.5862  0.4138  0.0000
Pt  0.9138  0.9138  0.5000
Pb  0.0035  0.3307  0.5000
Pb  0.1045  0.8955  0.0000
Pb  0.1693  0.5035  0.0000
Pb  0.3307  0.0035  0.5000
Pb  0.3955  0.3955  0.5000
Pb  0.4965  0.8307  0.0000
Pb  0.5035  0.1693  0.0000
Pb  0.6045  0.6045  0.5000
Pb  0.6693  0.9965  0.5000
Pb  0.8307  0.4965  0.0000
Pb  0.8955  0.1045  0.0000
Pb  0.9965  0.6693  0.5000

=====

6.
MnP3 | meta-GGA SCAN | single point on PBEsol structure

Calculated values
Its total magnetization is 0.55 μB per atom. Its polymorph energy (0 for the lowest one) is 0.1581 eV/atom. As for the total energy: -47.313 eV/cell. As for the volume: 48.0 Å³/cell. Its formation energy is 2.14 eV/f.u.

a b c (Å): 4.0794 4.0794 4.0794
angles (deg): 60.00 60.00 60.00
Positions (direct):
Mn  0.0000  0.0000  0.0000
P  0.2500  0.2500  0.2500
P  0.5000  0.5000  0.5000
P  0.7500  0.7500  0.7500

=====

7.
Sr2MoPt | meta-GGA SCAN | single point on PBEsol structure

Calculated values
Its total magnetization is 0.00 μB per atom. Its polymorph energy (0 for the lowest one) is 0.0000 eV/atom. As for the total energy: -148.980 eV/cell. As for the volume: 108.3 Å³/cell. Its formation energy is 0.65 eV/f.u.

a b c (Å): 5.9798 5.9798 5.9798
angles (deg): 138.93 128.41 67.97
Positions (direct):
Sr  0.0000  0.0000  0.0000
Sr  0.7129  0.2129  0.5000
Mo  0.4082  0.4082  0.0000
Pt  0.2902  0.7902  0.5000

=====

8.
Sc3BCl | meta-GGA SCAN | single point on PBEsol structure

Calculated values
Its total magnetization is 0.00 μB per atom. The uncorrected formation energy is 244 meV/atom. As for the total energy: -56.897 eV/cell. As for the volume: 95.7 Å³/cell.

a b c (Å): 4.5746 4.5746 4.5746
angles (deg): 90.00 90.00 90.00
Positions (direct):
Sc  0.0000  0.0000  0.5000
Sc  0.0000  0.5000  0.0000
Sc  0.5000  0.0000  0.0000
B  0.5000  0.5000  0.5000
Cl  0.0000  0.0000  0.0000

=====

9.
YMgPt2 | meta-GGA SCAN | single point on PBEsol structure

Calculated values
Its total magnetization is 0.00 μB per atom. As for the total energy: -177.956 eV/cell. As for the volume: 72.4 Å³/cell. Its formation energy is -4.75 eV/f.u.

a b c (Å): 3.3516 3.3516 6.4416
angles (deg): 90.00 90.00 90.00
Positions (direct):
Y  0.0000  0.0000  0.0000
Mg  0.0000  0.0000  0.5000
Pt  0.5000  0.5000  0.2720
Pt  0.5000  0.5000  0.7280

=====

10.
LiTa2Ru | meta-GGA SCAN | single point on PBEsol structure

Calculated values
Its total magnetization is 0.00 μB per atom. As for the total energy: -169.935 eV/cell. As for the volume: 59.6 Å³/cell. Its formation energy is 0.45 eV/f.u.

a b c (Å): 3.0923 3.0923 6.2355
angles (deg): 90.00 90.00 90.00
Positions (direct):
Li  0.0000  0.0000  0.0000
Ta  0.5000  0.5000  0.2426
Ta  0.5000  0.5000  0.7574
Ru  0.0000  0.0000  0.5000

=====

11.
HfFe2Tc | meta-GGA SCAN | single point on PBEsol structure

Calculated values
Its total magnetization is 0.89 μB per atom. As for the total energy: -134.187 eV/cell. As for the volume: 54.3 Å³/cell. Its formation energy is -0.20 eV/f.u.

a b c (Å): 4.2512 4.2512 4.2512
angles (deg): 60.00 60.00 60.00
Positions (direct):
Hf  0.0000  0.0000  0.0000
Fe  0.2500  0.2500  0.2500
Fe  0.7500  0.7500  0.7500
Tc  0.5000  0.5000  0.5000

=====

12.
ZrBeHg2 | meta-GGA SCAN | single point on PBEsol structure

Calculated values
Its total magnetization is 0.00 μB per atom. As for the total energy: -171.385 eV/cell. As for the volume: 74.9 Å³/cell. Its formation energy is 0.00 eV/f.u.

a b c (Å): 4.4986 4.4986 5.9945
angles (deg): 111.94 111.94 42.34
Positions (direct):
Zr  0.0000  0.0000  0.0000
Be  0.3163  0.3163  0.6318
Hg  0.6127  0.6127  0.6531
Hg  0.8048  0.8048  0.3006